A plane-wave DFT calculation with GGA-PBEsol was carried out for ScFe3O after structural relaxation.

Results
Its total energy is -5.743 eV/atom. Its uncorrected formation energy is 2.01 eV per atom.

abc: 4.3660 4.3660 4.3660
angles: 90.00 90.00 90.00
Closest atoms and distances in Å follow each position.
Space group Pm-3m (No. 221)
Asymmetric unit:
Sc: 0.0000 0.0000 0.0000 (multiplicity 1)  6 Fe 2.18
Fe: 0.0000 0.0000 0.5000 (multiplicity 3)  2 Sc 2.18
O: 0.5000 0.5000 0.5000 (multiplicity 1)  12 Fe 3.09